No. 1
A relaxed PuVCu2O8 crystal, computed with PBE with a Hubbard U.

a b c (Å): 5.691 5.691 5.691
angles (deg): 112.99 112.99 102.63
Atoms (fractional coordinates):
Pu  0.000  0.000  0.000
V  0.250  0.750  0.500
Cu  0.500  0.500  0.000
Cu  0.750  0.250  0.500
O  0.311  0.096  0.785
O  0.311  0.526  0.215
O  0.346  0.042  0.304
O  0.474  0.689  0.785
O  0.738  0.042  0.696
O  0.904  0.689  0.215
O  0.958  0.262  0.304
O  0.958  0.654  0.696

Output
As for the symmetry: No. 119. As for the magnetic moment: 1.06 μB per formula unit. As for the density of states at the Fermi level: 6.4 states/eV/cell. The value obtained for the electronic total energy is -85.13 eV/cell.

---

No. 2
A relaxed PuVCuO6 crystal, computed with PBE with a Hubbard U.

a b c (Å): 5.254 5.254 8.919
angles (deg): 90.00 90.00 120.00
Atoms (fractional coordinates):
Pu  0.333  0.667  0.250
Pu  0.667  0.333  0.750
V  0.333  0.667  0.750
V  0.667  0.333  0.250
Cu  0.000  0.000  0.000
Cu  0.000  0.000  0.500
O  0.019  0.359  0.634
O  0.019  0.660  0.866
O  0.340  0.359  0.866
O  0.340  0.981  0.634
O  0.359  0.019  0.134
O  0.359  0.340  0.366
O  0.641  0.660  0.634
O  0.641  0.981  0.866
O  0.660  0.019  0.366
O  0.660  0.641  0.134
O  0.981  0.340  0.134
O  0.981  0.641  0.366

Output
As for the symmetry: No. 163. As for the magnetic moment: 2.00 μB per formula unit. As for the density of states at the Fermi level: 7.8 states/eV/cell. The value obtained for the electronic total energy is -143.56 eV/cell.

---

No. 3
A relaxed PuV2CuO8 crystal, computed with PBE with a Hubbard U.

a b c (Å): 5.846 5.846 5.849
angles (deg): 90.00 90.00 120.00
Atoms (fractional coordinates):
Pu  0.000  0.000  0.000
V  0.333  0.667  0.671
V  0.667  0.333  0.329
Cu  0.000  0.000  0.500
O  0.163  0.325  0.759
O  0.163  0.837  0.759
O  0.325  0.163  0.241
O  0.333  0.667  0.393
O  0.667  0.333  0.607
O  0.675  0.837  0.759
O  0.837  0.163  0.241
O  0.837  0.675  0.241

Output
As for the symmetry: No. 164. As for the magnetic moment: 3.00 μB per formula unit. As for the density of states at the Fermi level: 8.8 states/eV/cell. The value obtained for the electronic total energy is -94.90 eV/cell.

---

- Which of these has the highest electronic total energy?
  PuVCu2O8

---

- What is the electronic total energy in the first record?
  -85.13 eV/cell